A relaxed V2HF2 crystal. Source: the Alexandria database, functional PBE+U.

- space-group type = No. 127
- distance to the lowest polymorph of the same formula (eV/atom) = 0.000
- total moment (μB/cell) = 13.89

Unit cell a=6.019 b=6.019 c=4.030 alpha=90.00 beta=90.00 gamma=90.00
Site moments in Bohr magnetons follow the coordinates.
Positions (direct):
1 H 0.000 0.000 0.000  -0.02
2 H 0.500 0.500 0.000  -0.02
3 V 0.231 0.731 0.000  2.88
4 V 0.731 0.769 0.000  2.88
5 V 0.769 0.269 0.000  2.88
6 V 0.269 0.231 0.000  2.88
7 F 0.213 0.713 0.500  0.06
8 F 0.713 0.787 0.500  0.06
9 F 0.787 0.287 0.500  0.06
10 F 0.287 0.213 0.500  0.06